Entry 1:
# PmTl3, relaxed, DFT PBE
# **Spin magnetization**: 0.001 μB per formula unit
# **VASP energy**: -3.252 eV/atom
data_PmTl3
_chemical_formula_sum 'Pm1 Tl3'
_symmetry_space_group_name_H-M 'P 1'
_symmetry_Int_Tables_number 1
_symmetry_space_group_name_Hall 'P 1'
_cell_length_a 4.7906
_cell_length_b 4.7917
_cell_length_c 4.7922
_cell_angle_alpha 90.00
_cell_angle_beta 90.00
_cell_angle_gamma 90.00
loop_
_atom_site_label
_atom_site_fract_x
_atom_site_fract_y
_atom_site_fract_z
Tl1 0.0000 0.0000 0.0835
Tl2 0.0000 0.5000 0.5834
Tl3 0.5000 0.5000 0.0831
Pm1 0.5000 0.0000 0.5833



Entry 2:
# PmTmTl, relaxed, DFT PBE
# **Spin magnetization**: 0.114 μB per formula unit
# **Energy above the most stable polymorph in this dataset**: 0 meV/atom
data_PmTmTl
_chemical_formula_sum 'Pm1 Tm1 Tl1'
_symmetry_space_group_name_H-M 'P 1'
_symmetry_Int_Tables_number 1
_symmetry_space_group_name_Hall 'P 1'
_cell_length_a 5.1958
_cell_length_b 5.1958
_cell_length_c 5.1958
_cell_angle_alpha 60.00
_cell_angle_beta 60.00
_cell_angle_gamma 60.00
loop_
_atom_site_label
_atom_site_fract_x
_atom_site_fract_y
_atom_site_fract_z
Pm1 0.2500 0.2500 0.2500
Tl1 0.0000 0.0000 0.0000
Tm1 0.7500 0.7500 0.7500



Entry 3:
# PmUTl, relaxed, DFT PBE
# **Spin magnetization**: 4.061 μB per formula unit
# **Energy above the most stable polymorph in this dataset**: 0 meV/atom
data_PmUTl
_chemical_formula_sum 'Pm1 U1 Tl1'
_symmetry_space_group_name_H-M 'P 1'
_symmetry_Int_Tables_number 1
_symmetry_space_group_name_Hall 'P 1'
_cell_length_a 5.2405
_cell_length_b 5.2405
_cell_length_c 5.2405
_cell_angle_alpha 60.00
_cell_angle_beta 60.00
_cell_angle_gamma 60.00
loop_
_atom_site_label
_atom_site_fract_x
_atom_site_fract_y
_atom_site_fract_z
Pm1 0.2500 0.2500 0.2500
U1 0.7500 0.7500 0.7500
Tl1 0.0000 0.0000 0.0000



Entry 4:
# PmTlW, relaxed, DFT PBE
# **Spin magnetization**: 2.794 μB per formula unit
# **Energy above the most stable polymorph in this dataset**: 384 meV/atom
data_PmTlW
_chemical_formula_sum 'Pm1 Tl1 W1'
_symmetry_space_group_name_H-M 'P 1'
_symmetry_Int_Tables_number 1
_symmetry_space_group_name_Hall 'P 1'
_cell_length_a 5.0146
_cell_length_b 5.0146
_cell_length_c 5.0146
_cell_angle_alpha 60.00
_cell_angle_beta 60.00
_cell_angle_gamma 60.00
loop_
_atom_site_label
_atom_site_fract_x
_atom_site_fract_y
_atom_site_fract_z
Pm1 0.0000 0.0000 0.0000
Tl1 0.2500 0.2500 0.2500
W1 0.7500 0.7500 0.7500



Entry 5:
# PmTlW, relaxed, DFT PBE
# **Spin magnetization**: 2.267 μB per formula unit
# **Energy above the most stable polymorph in this dataset**: 0 meV/atom
data_PmTlW
_chemical_formula_sum 'Pm1 Tl1 W1'
_symmetry_space_group_name_H-M 'P 1'
_symmetry_Int_Tables_number 1
_symmetry_space_group_name_Hall 'P 1'
_cell_length_a 4.8949
_cell_length_b 4.8949
_cell_length_c 4.8949
_cell_angle_alpha 60.00
_cell_angle_beta 60.00
_cell_angle_gamma 60.00
loop_
_atom_site_label
_atom_site_fract_x
_atom_site_fract_y
_atom_site_fract_z
W1 0.0000 0.0000 0.0000
Tl1 0.7500 0.7500 0.7500
Pm1 0.2500 0.2500 0.2500



Entry 6:
# PmTm, relaxed, DFT PBE
# **Spin magnetization**: 0.485 μB per formula unit
# **Energy above the most stable polymorph in this dataset**: 681 meV/atom
# **ΔE_f**: 717 meV per atom
data_PmTm
_chemical_formula_sum 'Pm1 Tm1'
_symmetry_space_group_name_H-M 'P 1'
_symmetry_Int_Tables_number 1
_symmetry_space_group_name_Hall 'P 1'
_cell_length_a 4.5598
_cell_length_b 4.5598
_cell_length_c 4.5598
_cell_angle_alpha 60.00
_cell_angle_beta 60.00
_cell_angle_gamma 60.00
loop_
_atom_site_label
_atom_site_fract_x
_atom_site_fract_y
_atom_site_fract_z
Pm1 0.0000 0.0000 0.0000
Tm1 0.5000 0.5000 0.5000



Entry 7:
# PmTm, relaxed, DFT PBE
# **Spin magnetization**: 0.002 μB per formula unit
# **Energy above the most stable polymorph in this dataset**: 0 meV/atom
# **ΔE_f**: 35 meV per atom
data_PmTm
_chemical_formula_sum 'Pm1 Tm1'
_symmetry_space_group_name_H-M 'P 1'
_symmetry_Int_Tables_number 1
_symmetry_space_group_name_Hall 'P 1'
_cell_length_a 3.5893
_cell_length_b 3.5893
_cell_length_c 5.7679
_cell_angle_alpha 90.00
_cell_angle_beta 90.00
_cell_angle_gamma 120.00
loop_
_atom_site_label
_atom_site_fract_x
_atom_site_fract_y
_atom_site_fract_z
Pm1 0.6667 0.3333 0.7500
Tm1 0.3333 0.6667 0.2500



Entry 8:
# PmTm, relaxed, DFT PBE
# **Spin magnetization**: 0.012 μB per formula unit
# **Energy above the most stable polymorph in this dataset**: 1747 meV/atom
# **ΔE_f**: 1783 meV per atom
data_PmTm
_chemical_formula_sum 'Pm1 Tm1'
_symmetry_space_group_name_H-M 'P 1'
_symmetry_Int_Tables_number 1
_symmetry_space_group_name_Hall 'P 1'
_cell_length_a 4.9098
_cell_length_b 4.9098
_cell_length_c 4.9098
_cell_angle_alpha 60.00
_cell_angle_beta 60.00
_cell_angle_gamma 60.00
loop_
_atom_site_label
_atom_site_fract_x
_atom_site_fract_y
_atom_site_fract_z
Pm1 0.0000 0.0000 0.0000
Tm1 0.2500 0.2500 0.2500



Entry 9:
# PmTmW, relaxed, DFT PBE
# **Spin magnetization**: 0.001 μB per formula unit
# **Energy above the most stable polymorph in this dataset**: 0 meV/atom
# **ΔE_f**: 851 meV per atom
data_PmTmW
_chemical_formula_sum 'Pm1 Tm1 W1'
_symmetry_space_group_name_H-M 'P 1'
_symmetry_Int_Tables_number 1
_symmetry_space_group_name_Hall 'P 1'
_cell_length_a 4.8832
_cell_length_b 4.8832
_cell_length_c 4.8832
_cell_angle_alpha 60.00
_cell_angle_beta 60.00
_cell_angle_gamma 60.00
loop_
_atom_site_label
_atom_site_fract_x
_atom_site_fract_y
_atom_site_fract_z
Tm1 0.7500 0.7500 0.7500
Pm1 0.2500 0.2500 0.2500
W1 0.0000 0.0000 0.0000



Entry 10:
# PmYTm, relaxed, DFT PBE
# **Spin magnetization**: 0.005 μB per formula unit
# **Energy above the most stable polymorph in this dataset**: 0 meV/atom
# **ΔE_f**: 709 meV per atom
data_PmYTm
_chemical_formula_sum 'Pm1 Y1 Tm1'
_symmetry_space_group_name_H-M 'P 1'
_symmetry_Int_Tables_number 1
_symmetry_space_group_name_Hall 'P 1'
_cell_length_a 5.4410
_cell_length_b 5.4410
_cell_length_c 5.4410
_cell_angle_alpha 60.00
_cell_angle_beta 60.00
_cell_angle_gamma 60.00
loop_
_atom_site_label
_atom_site_fract_x
_atom_site_fract_y
_atom_site_fract_z
Pm1 0.2500 0.2500 0.2500
Tm1 0.0000 0.0000 0.0000
Y1 0.7500 0.7500 0.7500



Entry 11:
# PmTmZn, relaxed, DFT PBE
# **Spin magnetization**: 0.029 μB per formula unit
# **Energy above the most stable polymorph in this dataset**: 0 meV/atom
# **ΔE_f**: 21 meV per atom
data_PmTmZn
_chemical_formula_sum 'Pm1 Tm1 Zn1'
_symmetry_space_group_name_H-M 'P 1'
_symmetry_Int_Tables_number 1
_symmetry_space_group_name_Hall 'P 1'
_cell_length_a 4.9683
_cell_length_b 4.9683
_cell_length_c 4.9683
_cell_angle_alpha 60.00
_cell_angle_beta 60.00
_cell_angle_gamma 60.00
loop_
_atom_site_label
_atom_site_fract_x
_atom_site_fract_y
_atom_site_fract_z
Tm1 0.7500 0.7500 0.7500
Zn1 0.0000 0.0000 0.0000
Pm1 0.2500 0.2500 0.2500



Entry 12:
# PmU, relaxed, DFT PBE
# **Spin magnetization**: 0.556 μB per formula unit
# **Energy above the most stable polymorph in this dataset**: 1559 meV/atom
# **ΔE_f**: 2121 meV per atom
data_PmU
_chemical_formula_sum 'Pm1 U1'
_symmetry_space_group_name_H-M 'P 1'
_symmetry_Int_Tables_number 1
_symmetry_space_group_name_Hall 'P 1'
_cell_length_a 4.3840
_cell_length_b 4.3840
_cell_length_c 4.3840
_cell_angle_alpha 60.00
_cell_angle_beta 60.00
_cell_angle_gamma 60.00
loop_
_atom_site_label
_atom_site_fract_x
_atom_site_fract_y
_atom_site_fract_z
U1 0.2500 0.2500 0.2500
Pm1 0.0000 0.0000 0.0000



Entry 13:
# PmU2, relaxed, DFT PBE
# **Spin magnetization**: 3.108 μB per formula unit
# **ΔE_f**: 3207 meV per atom
data_PmU2
_chemical_formula_sum 'Pm2 U4'
_symmetry_space_group_name_H-M 'P 1'
_symmetry_Int_Tables_number 1
_symmetry_space_group_name_Hall 'P 1'
_cell_length_a 8.4765
_cell_length_b 8.4765
_cell_length_c 8.4765
_cell_angle_alpha 60.00
_cell_angle_beta 60.00
_cell_angle_gamma 60.00
loop_
_atom_site_label
_atom_site_fract_x
_atom_site_fract_y
_atom_site_fract_z
U1 0.3750 0.3750 0.8750
U2 0.3750 0.8750 0.3750
U3 0.8750 0.3750 0.3750
U4 0.3750 0.3750 0.3750
Pm1 0.2500 0.2500 0.2500
Pm2 0.5000 0.5000 0.5000



Entry 14:
# Pm2U, relaxed, DFT PBE
# **Spin magnetization**: 0.886 μB per formula unit
# **ΔE_f**: 2388 meV per atom
data_Pm2U
_chemical_formula_sum 'Pm4 U2'
_symmetry_space_group_name_H-M 'P 1'
_symmetry_Int_Tables_number 1
_symmetry_space_group_name_Hall 'P 1'
_cell_length_a 8.8787
_cell_length_b 8.8787
_cell_length_c 8.8787
_cell_angle_alpha 60.00
_cell_angle_beta 60.00
_cell_angle_gamma 60.00
loop_
_atom_site_label
_atom_site_fract_x
_atom_site_fract_y
_atom_site_fract_z
Pm1 0.3750 0.3750 0.3750
Pm2 0.3750 0.8750 0.3750
Pm3 0.8750 0.3750 0.3750
Pm4 0.3750 0.3750 0.8750
U1 0.5000 0.5000 0.5000
U2 0.2500 0.2500 0.2500



Entry 15:
# PmU, relaxed, DFT PBE
# **Spin magnetization**: 2.091 μB per formula unit
# **Energy above the most stable polymorph in this dataset**: 0 meV/atom
# **ΔE_f**: 562 meV per atom
data_PmU
_chemical_formula_sum 'Pm1 U1'
_symmetry_space_group_name_H-M 'P 1'
_symmetry_Int_Tables_number 1
_symmetry_space_group_name_Hall 'P 1'
_cell_length_a 3.2385
_cell_length_b 3.2385
_cell_length_c 5.9138
_cell_angle_alpha 90.00
_cell_angle_beta 90.00
_cell_angle_gamma 120.00
loop_
_atom_site_label
_atom_site_fract_x
_atom_site_fract_y
_atom_site_fract_z
U1 0.3333 0.6667 0.2500
Pm1 0.6667 0.3333 0.7500



Entry 16:
# PmU, relaxed, DFT PBE
# **Spin magnetization**: 1.737 μB per formula unit
# **Energy above the most stable polymorph in this dataset**: 833 meV/atom
# **ΔE_f**: 1395 meV per atom
data_PmU
_chemical_formula_sum 'Pm1 U1'
_symmetry_space_group_name_H-M 'P 1'
_symmetry_Int_Tables_number 1
_symmetry_space_group_name_Hall 'P 1'
_cell_length_a 4.2374
_cell_length_b 4.2374
_cell_length_c 4.2374
_cell_angle_alpha 60.00
_cell_angle_beta 60.00
_cell_angle_gamma 60.00
loop_
_atom_site_label
_atom_site_fract_x
_atom_site_fract_y
_atom_site_fract_z
U1 0.5000 0.5000 0.5000
Pm1 0.0000 0.0000 0.0000



Entry 17:
# PmUZn, relaxed, DFT PBE
# **Spin magnetization**: 3.179 μB per formula unit
# **Energy above the most stable polymorph in this dataset**: 0 meV/atom
# **ΔE_f**: 651 meV per atom
data_PmUZn
_chemical_formula_sum 'Pm1 U1 Zn1'
_symmetry_space_group_name_H-M 'P 1'
_symmetry_Int_Tables_number 1
_symmetry_space_group_name_Hall 'P 1'
_cell_length_a 4.8654
_cell_length_b 4.8654
_cell_length_c 4.8654
_cell_angle_alpha 60.00
_cell_angle_beta 60.00
_cell_angle_gamma 60.00
loop_
_atom_site_label
_atom_site_fract_x
_atom_site_fract_y
_atom_site_fract_z
Pm1 0.2500 0.2500 0.2500
Zn1 0.0000 0.0000 0.0000
U1 0.7500 0.7500 0.7500



Entry 18:
# Pm2W, relaxed, DFT PBE
# **Spin magnetization**: 0.011 μB per formula unit
# **Energy above the most stable polymorph in this dataset**: 614 meV/atom
# **ΔE_f**: 1455 meV per atom
data_Pm2W
_chemical_formula_sum 'Pm4 W2'
_symmetry_space_group_name_H-M 'P 1'
_symmetry_Int_Tables_number 1
_symmetry_space_group_name_Hall 'P 1'
_cell_length_a 5.9784
_cell_length_b 5.9784
_cell_length_c 5.9784
_cell_angle_alpha 60.00
_cell_angle_beta 60.00
_cell_angle_gamma 60.00
loop_
_atom_site_label
_atom_site_fract_x
_atom_site_fract_y
_atom_site_fract_z
W1 0.0000 0.0000 0.0000
W2 0.2500 0.2500 0.2500
Pm1 0.1250 0.6250 0.6250
Pm2 0.6250 0.6250 0.1250
Pm3 0.6250 0.6250 0.6250
Pm4 0.6250 0.1250 0.6250



Entry 19:
# Pm2W, relaxed, DFT PBE
# **Spin magnetization**: 0.004 μB per formula unit
# **Energy above the most stable polymorph in this dataset**: 1180 meV/atom
# **ΔE_f**: 2021 meV per atom
data_Pm2W
_chemical_formula_sum 'Pm4 W2'
_symmetry_space_group_name_H-M 'P 1'
_symmetry_Int_Tables_number 1
_symmetry_space_group_name_Hall 'P 1'
_cell_length_a 8.4614
_cell_length_b 8.4614
_cell_length_c 8.4614
_cell_angle_alpha 60.00
_cell_angle_beta 60.00
_cell_angle_gamma 60.00
loop_
_atom_site_label
_atom_site_fract_x
_atom_site_fract_y
_atom_site_fract_z
W1 0.5000 0.5000 0.5000
W2 0.2500 0.2500 0.2500
Pm1 0.8750 0.3750 0.3750
Pm2 0.3750 0.8750 0.3750
Pm3 0.3750 0.3750 0.3750
Pm4 0.3750 0.3750 0.8750



Entry 20:
# PmW, relaxed, DFT PBE
# **Spin magnetization**: 0.110 μB per formula unit
# **Energy above the most stable polymorph in this dataset**: 845 meV/atom
# **ΔE_f**: 1842 meV per atom
data_PmW
_chemical_formula_sum 'Pm1 W1'
_symmetry_space_group_name_H-M 'P 1'
_symmetry_Int_Tables_number 1
_symmetry_space_group_name_Hall 'P 1'
_cell_length_a 4.1684
_cell_length_b 4.1684
_cell_length_c 4.1684
_cell_angle_alpha 60.00
_cell_angle_beta 60.00
_cell_angle_gamma 60.00
loop_
_atom_site_label
_atom_site_fract_x
_atom_site_fract_y
_atom_site_fract_z
Pm1 0.0000 0.0000 0.0000
W1 0.5000 0.5000 0.5000